Entry 1:
TiNbO2 | PBE-GGA | optimized geometry

```
TiNbO2
1.0
1.483 0.856 6.405
-1.483 0.856 6.405
0.000 -1.712 6.405
Ti Nb O
1 1 2
direct
0.000 0.000 0.000 Ti
0.500 0.500 0.500 Nb
0.390 0.390 0.390 O
0.610 0.610 0.610 O
```

Summary:
- excess energy over the best structure of this formula in the dataset (kcal/mol of atoms) = 0.00
- formation energy without anion corrections (meV per atom) = -2028
- total magnetic moment (μB/f.u.) = 0.00

***

Entry 2:
Sc4InAg | PBE-GGA | optimized geometry

```
Sc4InAg
1.0
0.000 4.111 4.111
4.111 0.000 4.111
4.111 4.111 0.000
Sc In Ag
4 1 1
direct
0.376 0.376 0.376 Sc
0.376 0.376 0.873 Sc
0.376 0.873 0.376 Sc
0.873 0.376 0.376 Sc
0.750 0.750 0.750 In
0.000 0.000 0.000 Ag
```

Summary:
- excess energy over the best structure of this formula in the dataset (kcal/mol of atoms) = 9.30
- calculated formation energy (meV/atom) = 183
- total magnetic moment (μB/f.u.) = 0.00

***

Entry 3:
Ac2PrNi | PBE-GGA | optimized geometry

```
Ac2PrNi
1.0
1.985 1.146 10.879
-1.985 1.146 10.879
0.000 -2.292 10.879
Ac Pr Ni
2 1 1
direct
0.113 0.113 0.113 Ac
0.887 0.887 0.887 Ac
0.000 0.000 0.000 Pr
0.500 0.500 0.500 Ni
```

Summary:
- excess energy over the best structure of this formula in the dataset (kcal/mol of atoms) = 5.64
- calculated formation energy (meV/atom) = 116
- total magnetic moment (μB/f.u.) = 0.56

***

excess energy over the best structure of this formula in the dataset of number 1 (TiNbO2)?
0.00 kcal/mol of atoms

***

The highest excess energy over the best structure of this formula in the dataset belongs to which entry?
Sc4InAg

***

Among the records above, which one has the lowest excess energy over the best structure of this formula in the dataset?
TiNbO2

***

Look up the excess energy over the best structure of this formula in the dataset of the first one.
0.00 kcal/mol of atoms